(1)
The following is a GGA-PBE calculation of an optimized crystal structure of NaNdSm2Te4, from Alexandria.

a = 7.780 Å, b = 4.447 Å, c = 7.790 Å
α = 90.00°, β = 108.99°, γ = 90.00°
Sites, in units of the cell vectors:
Na 0.000 0.000 0.000
Nd 0.500 0.500 0.000
Sm 0.000 0.500 0.500
Sm 0.500 0.000 0.500
Te 0.246 0.000 0.748
Te 0.250 0.500 0.253
Te 0.750 0.500 0.747
Te 0.754 0.000 0.252

Computed properties:
* crystal system: monoclinic
* DFT total energy: -4.884 eV/atom
* calculated density: 6.37 g/cm3
* uncorrected formation energy: -1.37 eV per atom


(2)
The following is a GGA-PBE calculation of an optimized crystal structure of Sr2Tm3Tl4, from Alexandria.

a = 9.680 Å, b = 9.680 Å, c = 8.868 Å
α = 90.00°, β = 90.00°, γ = 136.21°
Sites, in units of the cell vectors:
Sr 0.105 0.895 0.913
Sr 0.395 0.605 0.413
Sr 0.605 0.395 0.587
Sr 0.895 0.105 0.087
Tm 0.000 0.000 0.500
Tm 0.026 0.474 0.750
Tm 0.474 0.026 0.250
Tm 0.500 0.500 0.000
Tm 0.526 0.974 0.750
Tm 0.974 0.526 0.250
Tl 0.179 0.821 0.536
Tl 0.195 0.305 0.750
Tl 0.305 0.195 0.250
Tl 0.321 0.679 0.036
Tl 0.679 0.321 0.964
Tl 0.695 0.805 0.750
Tl 0.805 0.695 0.250
Tl 0.821 0.179 0.464

Computed properties:
* crystal system: orthorhombic
* DFT total energy: -3.146 eV/atom
* energy of formation from the pure elements: -230 meV per atom
* calculated density: 8.66 g/cm3


(3)
The following is a GGA-PBE calculation of an optimized crystal structure of RbCoI2, from Alexandria.

a = 8.122 Å, b = 8.122 Å, c = 8.122 Å
α = 90.00°, β = 90.00°, γ = 90.00°
Sites, in units of the cell vectors:
Rb 0.000 0.000 0.000
Rb 0.000 0.500 0.500
Rb 0.500 0.000 0.500
Rb 0.500 0.500 0.000
Co 0.000 0.000 0.500
Co 0.000 0.500 0.000
Co 0.500 0.000 0.000
Co 0.500 0.500 0.500
I 0.250 0.250 0.250
I 0.250 0.250 0.750
I 0.250 0.750 0.250
I 0.250 0.750 0.750
I 0.750 0.250 0.250
I 0.750 0.250 0.750
I 0.750 0.750 0.250
I 0.750 0.750 0.750

Computed properties:
* crystal system: cubic
* DFT total energy: -2.704 eV/atom
* polymorph energy (0 for the lowest one): 550 meV per atom
* calculated density: 4.94 g/cm3
* uncorrected formation energy: 0.09 eV per atom


(4)
The following is a GGA-PBE calculation of an optimized crystal structure of NiPdPb, from Alexandria.

a = 4.346 Å, b = 4.346 Å, c = 3.191 Å
α = 90.00°, β = 90.00°, γ = 120.00°
Sites, in units of the cell vectors:
Ni 0.000 0.000 0.000
Pd 0.667 0.333 0.625
Pb 0.333 0.667 0.230

Computed properties:
* crystal system: trigonal
* DFT total energy: -4.806 eV/atom
* energy of formation from the pure elements: 88 meV per atom
* polymorph energy (0 for the lowest one): 26 meV per atom
* calculated density: 11.85 g/cm3